1.
Entry from OQMD via LeMat-Bulk: a relaxed Y4Lu2Zn3C3 crystal (PBE).

abc: 10.611 6.124 16.181
angles: 90.00 102.32 90.00
Space group C2/c (No. 15)
Asymmetric unit:
Y: 0.111 0.083 0.085
Y: 0.222 0.084 0.415
Lu: 0.056 0.418 0.915
Zn: 0.000 0.089 0.250
Zn: 0.241 0.341 0.250
C: 0.080 0.259 0.500
C: 0.250 0.250 0.000

Summary:
Mass density = 6.1 Mg/m³
Size of the total moment = 0.02 μB per cell
Raw total energy = -5.754 eV per atom



2.
Entry from OQMD via LeMat-Bulk: a relaxed Lu3ZnC crystal (PBE).

abc: 4.740 4.740 4.740
angles: 90.00 90.00 90.00
Space group Pm-3m (No. 221)
Asymmetric unit:
Lu: 0.000 0.000 0.500
Zn: 0.500 0.500 0.500
C: 0.000 0.000 0.000

Summary:
Mass density = 9.4 Mg/m³
Size of the total moment = 0.97 μB per cell
Raw total energy = -5.126 eV per atom



3.
Entry from OQMD via LeMat-Bulk: a relaxed Lu3ZnC2 crystal (PBE).

abc: 3.5380 3.5380 20.1163
angles: 90.00 90.00 120.00
Space group P6_3/mmc (No. 194)
Asymmetric unit:
Lu: 0.0000 0.0000 0.0000
Lu: 0.3333 0.6667 0.1317
Zn: 0.0000 0.0000 0.2500
C: 0.3333 0.6667 0.5758

Summary:
Mass density = 9.4 Mg/m³
Size of the total moment = 0.17 μB per cell
Raw total energy = -5.852 eV per atom



4.
Entry from OQMD via LeMat-Bulk: a relaxed Lu4Zr2Zn3C3 crystal (PBE).

abc: 10.181 5.876 15.635
angles: 90.00 101.66 90.00
Space group C2/c (No. 15)
Asymmetric unit:
Lu: 0.110 0.077 0.086
Lu: 0.220 0.086 0.414
Zr: 0.060 0.416 0.917
Zn: 0.000 0.077 0.250
Zn: 0.235 0.346 0.250
C: 0.077 0.269 0.500
C: 0.250 0.250 0.000

Summary:
Mass density = 8.1 Mg/m³
Size of the total moment = 0.02 μB per cell
Raw total energy = -5.867 eV per atom



5.
Entry from OQMD via LeMat-Bulk: a relaxed MgMo3C crystal (PBE).

abc: 4.194 4.194 4.194
angles: 90.00 90.00 90.00
Space group Pm-3m (No. 221)
Asymmetric unit:
Mg: 0.000 0.000 0.000
Mo: 0.000 0.500 0.500
C: 0.500 0.500 0.500

Summary:
Mass density = 7.3 Mg/m³
Size of the total moment = 0.00 μB per cell
Raw total energy = -8.442 eV per atom



6.
Entry from OQMD via LeMat-Bulk: a relaxed Mg2Zr4CN crystal (PBE).

abc: 3.3270 3.3270 15.5317
angles: 90.00 90.00 120.00
Space group P-3m1 (No. 164)
Asymmetric unit:
Mg: 0.3333 0.6667 0.2472
Zr: 0.3333 0.6667 0.5804
Zr: 0.3333 0.6667 0.9219
C: 0.0000 0.0000 0.5000
N: 0.0000 0.0000 0.0000

Summary:
Mass density = 4.9 Mg/m³
Size of the total moment = 0.03 μB per cell
Raw total energy = -7.505 eV per atom



7.
Entry from OQMD via LeMat-Bulk: a relaxed MgNb3C crystal (PBE).

abc: 4.359 4.359 4.359
angles: 90.00 90.00 90.00
Space group Pm-3m (No. 221)
Asymmetric unit:
Mg: 0.000 0.000 0.000
Nb: 0.000 0.500 0.500
C: 0.500 0.500 0.500

Summary:
Mass density = 6.3 Mg/m³
Size of the total moment = 0.01 μB per cell
Raw total energy = -8.235 eV per atom



8.
Entry from OQMD via LeMat-Bulk: a relaxed Nd6Mg23C crystal (PBE).

abc: 14.389 14.389 14.389
angles: 90.00 90.00 90.00
Space group Fm-3m (No. 225)
Asymmetric unit:
Nd: 0.000 0.000 0.183
Mg: 0.000 0.000 0.500
Mg: 0.000 0.250 0.250
Mg: 0.120 0.120 0.380
Mg: 0.171 0.171 0.171
C: 0.000 0.000 0.000

Summary:
Mass density = 3.2 Mg/m³
Size of the total moment = 0.48 μB per cell
Raw total energy = -2.549 eV per atom



9.
Entry from OQMD via LeMat-Bulk: a relaxed MgZr4PbC2 crystal (PBE).

abc: 3.3812 3.3812 15.3857
angles: 90.00 90.00 120.00
Space group P-6m2 (No. 187)
Asymmetric unit:
Mg: 0.0000 0.0000 0.0000
Zr: 0.0000 0.0000 0.3357
Zr: 0.6667 0.3333 0.1750
Pb: 0.6667 0.3333 0.5000
C: 0.3333 0.6667 0.2555

Summary:
Mass density = 6.8 Mg/m³
Size of the total moment = 0.11 μB per cell
Raw total energy = -7.792 eV per atom



10.
Entry from OQMD via LeMat-Bulk: a relaxed Mg3PdC crystal (PBE).

abc: 4.313 4.313 4.313
angles: 90.00 90.00 90.00
Space group Pm-3m (No. 221)
Asymmetric unit:
Mg: 0.000 0.000 0.500
Pd: 0.500 0.500 0.500
C: 0.000 0.000 0.000

Summary:
Mass density = 4.0 Mg/m³
Raw total energy = -3.841 eV per atom



11.
Entry from OQMD via LeMat-Bulk: a relaxed MgReC3 crystal (PBE).

abc: 5.528 2.828 5.627
angles: 90.00 119.11 90.00
Space group Pm (No. 6)
Asymmetric unit:
Mg: 0.000 0.000 0.000
Re: 0.331 0.000 0.658
C: 0.176 0.500 0.356
C: 0.185 0.500 0.820
C: 0.638 0.500 0.807

Summary:
Mass density = 5.3 Mg/m³
Size of the total moment = 0.00 μB per cell
Raw total energy = -6.996 eV per atom



12.
Entry from OQMD via LeMat-Bulk: a relaxed Mg5TcC crystal (PBE).

abc: 8.304 8.340 5.331
angles: 90.00 90.00 90.00
Space group Imm2 (No. 44)
Asymmetric unit:
Mg: 0.000 0.000 0.000
Mg: 0.000 0.299 0.346
Mg: 0.205 0.500 0.796
Tc: 0.000 0.000 0.489
C: 0.000 0.500 0.575

Summary:
Mass density = 2.1 Mg/m³
Size of the total moment = 1.29 μB per cell
Raw total energy = -3.022 eV per atom